Al3P2H14O15F3 | GGA-PBEsol | relaxed

a = 6.9658 Å, b = 9.1713 Å, c = 10.1216 Å
α = 96.00°, β = 97.97°, γ = 99.85°
Fractional positions:
F 0.7456 0.0318 0.6412
F 0.0265 0.7135 0.3119
F 0.2544 0.9682 0.3588
F 0.9735 0.2865 0.6881
F 0.6111 0.3941 0.2569
F 0.3889 0.6059 0.7431
O 0.2501 0.3160 0.2949
O 0.2376 0.3749 0.5400
O 0.7499 0.6840 0.7051
O 0.6173 0.8934 0.8351
O 0.0294 0.5753 0.6338
O 0.3530 0.5021 0.0969
O 0.6470 0.4979 0.9031
O 0.2134 0.9082 0.9511
O 0.4345 0.1627 0.5567
O 0.1368 0.0210 0.7215
O 0.3237 0.3241 0.7955
O 0.8836 0.7483 0.9712
O 0.7690 0.1885 0.4446
O 0.3132 0.5850 0.4021
O 0.1031 0.5070 0.8797
O 0.4842 0.7301 0.9936
O 0.7866 0.0918 0.0489
O 0.9706 0.4247 0.3662
O 0.3472 0.7624 0.2039
O 0.7624 0.6251 0.4600
O 0.5158 0.2699 0.0064
O 0.3827 0.1066 0.1649
O 0.6763 0.6759 0.2045
O 0.2310 0.8115 0.5554
O 0.8632 0.9790 0.2785
O 0.6528 0.2376 0.7961
O 0.1164 0.2517 0.0288
O 0.6868 0.4150 0.5979
O 0.5655 0.8373 0.4433
O 0.8969 0.4930 0.1203
H 0.3773 0.0894 0.4751
H 0.0135 0.8199 0.9626
H 0.9958 0.0266 0.6943
H 0.8811 0.7370 0.0666
H 0.3397 0.0593 0.2428
H 0.1974 0.9497 0.8622
H 0.6603 0.9407 0.7572
H 0.9808 0.4182 0.1068
H 0.8369 0.2791 0.4087
H 0.6375 0.7490 0.4510
H 0.8026 0.0503 0.1378
H 0.9865 0.1801 0.0374
H 0.6227 0.9106 0.5249
H 0.3228 0.0337 0.0812
H 0.3141 0.8411 0.9522
H 0.1631 0.7209 0.5913
H 0.7889 0.8748 0.2711
H 0.3625 0.2510 0.5490
H 0.6859 0.1589 0.0478
H 0.7988 0.0976 0.3926
H 0.0042 0.9734 0.3057
H 0.8026 0.4914 0.0338
H 0.0192 0.5818 0.8932
H 0.2012 0.9024 0.6074
H 0.1974 0.5086 0.9662
H 0.6772 0.9663 0.9188
H 0.2111 0.1252 0.7289
H 0.1189 0.2630 0.9334
P 0.8032 0.5716 0.6002
P 0.4650 0.6668 0.1281
P 0.5350 0.3332 0.8719
P 0.1968 0.4284 0.3998
Al 0.6247 0.6884 0.8521
Al 0.1790 0.4480 0.7070
Al 0.7083 0.2240 0.6215
Al 0.8210 0.5520 0.2930
Al 0.2917 0.7760 0.3785
Al 0.3753 0.3116 0.1479

Summary:
Calculated total energy = -6.05 eV/atom
Crystal system = triclinic
Magnetization = 0.0000 μB/atom
Calculated volume = 8.452 A^3/atom

---

FeCuTc2 | GGA-PBEsol | relaxed

a = 2.6233 Å, b = 3.7388 Å, c = 5.1547 Å
α = 90.00°, β = 90.00°, γ = 90.00°
Last column: magnetic moment on the atom in μB.
Fractional positions:
Tc 0.0000 0.0000 0.0001  -0.16
Tc 0.5000 0.5000 0.2490  0.05
Cu 0.0000 0.0000 0.5099  0.03
Fe 0.5000 0.5000 0.7411  2.03

Summary:
Formation enthalpy at 0 K = 0.1943 eV/atom
Distance to the lowest polymorph of the same formula = 0 meV per atom
Calculated total energy = -8.76 eV/atom
Crystal system = orthorhombic
Magnetization = 0.4864 μB/atom
Calculated volume = 12.639 A^3/atom

---

MgW2Cl | GGA-PBEsol | relaxed

a = 3.5689 Å, b = 3.5689 Å, c = 6.6373 Å
α = 105.60°, β = 105.60°, γ = 90.00°
Fractional positions:
W 0.7500 0.2500 0.5000
W 0.2500 0.7500 0.5000
Cl 0.5000 0.5000 0.0000
Mg 0.0000 0.0000 0.0000

Summary:
Energy relative to the elements, uncorrected = 910 meV per atom
Distance to the lowest polymorph of the same formula = 718 meV per atom
Calculated total energy = -6.92 eV/atom
Crystal system = tetragonal
Magnetization = 0.0001 μB/atom
Calculated volume = 19.547 A^3/atom

---

Al2CoIr | GGA-PBEsol | relaxed

a = 5.3031 Å, b = 5.3031 Å, c = 5.3031 Å
α = 104.84°, β = 104.84°, γ = 119.19°
Last column: magnetic moment on the atom in μB.
Fractional positions:
Ir 0.2500 0.7500 0.5000  0.04
Ir 0.0000 0.0000 0.0000  0.04
Al 0.8578 0.3750 0.9828  -0.01
Al 0.3922 0.8750 0.0172  -0.01
Al 0.1250 0.1422 0.5172  -0.01
Al 0.6250 0.6078 0.4828  -0.01
Co 0.7500 0.2500 0.5000  0.46
Co 0.5000 0.5000 0.0000  0.46

Summary:
Formation enthalpy at 0 K = 0.0456 eV/atom
Distance to the lowest polymorph of the same formula = 833 meV per atom
Calculated total energy = -6.39 eV/atom
Crystal system = tetragonal
Magnetization = 0.1162 μB/atom
Calculated volume = 14.036 A^3/atom

---

MgNiMoH2 | GGA-PBEsol | relaxed

a = 3.6803 Å, b = 3.6803 Å, c = 4.4973 Å
α = 90.00°, β = 90.00°, γ = 90.00°
Fractional positions:
Ni 0.0000 0.0000 0.0000
H 0.5000 0.0000 0.0000
H 0.0000 0.5000 0.0000
Mg 0.5000 0.5000 0.5000
Mo 0.0000 0.0000 0.5000

Summary:
Calculated total energy = -4.30 eV/atom
Crystal system = tetragonal
Magnetization = 0.0001 μB/atom
Calculated volume = 12.183 A^3/atom

---

Pb2WF2 | GGA-PBEsol | relaxed

a = 3.4553 Å, b = 3.4553 Å, c = 7.2878 Å
α = 103.71°, β = 103.71°, γ = 90.00°
Fractional positions:
W 0.0000 0.0000 0.0000
Pb 0.3780 0.3780 0.7560
Pb 0.6220 0.6220 0.2440
F 0.7500 0.2500 0.5000
F 0.2500 0.7500 0.5000

Summary:
Energy relative to the elements, uncorrected = -349 meV per atom
Calculated total energy = -5.48 eV/atom
Crystal system = tetragonal
Magnetization = 0.0001 μB/atom
Calculated volume = 16.395 A^3/atom

---

Ga2CoO4 | GGA-PBEsol | relaxed

a = 5.6759 Å, b = 5.8782 Å, c = 5.8782 Å
α = 60.94°, β = 61.13°, γ = 61.13°
Last column: magnetic moment on the atom in μB.
Fractional positions:
Ga 0.1348 0.1152 0.6152  0.02
Ga 0.8652 0.8848 0.3848  0.02
Ga 0.5000 0.5000 0.5000  -0.01
Ga 0.5000 0.0000 0.0000  -0.01
O 0.7346 0.2521 0.7521  0.05
O 0.7352 0.2693 0.2603  0.13
O 0.7389 0.7479 0.2479  0.05
O 0.7352 0.7603 0.7693  0.13
O 0.2654 0.7479 0.2479  0.05
O 0.2611 0.2521 0.7521  0.05
O 0.2648 0.2397 0.2307  0.13
O 0.2648 0.7307 0.7397  0.13
Co 0.0000 0.5000 0.0000  2.54
Co 0.5000 0.5000 0.0000  2.54

Summary:
Energy relative to the elements, uncorrected = -1530 meV per atom
Distance to the lowest polymorph of the same formula = 0 meV per atom
Calculated total energy = -6.59 eV/atom
Crystal system = orthorhombic
Magnetization = 0.4291 μB/atom
Calculated volume = 10.143 A^3/atom

---

NaNb2I | GGA-PBEsol | relaxed

a = 3.9601 Å, b = 3.9601 Å, c = 11.1970 Å
α = 100.19°, β = 100.19°, γ = 90.00°
Fractional positions:
I 0.0000 0.0000 0.0000
I 0.2500 0.7500 0.5000
Na 0.7500 0.2500 0.5000
Na 0.5000 0.5000 0.0000
Nb 0.6250 0.6369 0.7500
Nb 0.8869 0.3750 0.2500
Nb 0.3631 0.8750 0.2500
Nb 0.1250 0.1131 0.7500

Summary:
Energy relative to the elements, uncorrected = 692 meV per atom
Calculated total energy = -5.51 eV/atom
Crystal system = tetragonal
Magnetization = 0.0000 μB/atom
Calculated volume = 21.252 A^3/atom

---

Question: Which value of calculated volume does entry 2 give?
Answer: 12.639 A^3/atom

---

Question: Which of these has the highest magnetization?
Answer: FeCuTc2

---

Question: magnetization of number 1 (Al3P2H14O15F3)?
Answer: 0.0000 μB/atom